(1)
## Ce2LuCo (PBE)

Data for a relaxed Ce2LuCo crystal.

The structure in CIF format:
```
data_Ce2LuCo
_chemical_formula_sum 'Ce6 Lu3 Co3'
_symmetry_space_group_name_H-M 'R -3 m'
_symmetry_Int_Tables_number 166
_symmetry_space_group_name_Hall '-R 3 2"'
_cell_length_a 3.6296
_cell_length_b 3.6296
_cell_length_c 26.6118
_cell_angle_alpha 90.00
_cell_angle_beta 90.00
_cell_angle_gamma 120.00
loop_
_atom_site_label
_atom_site_fract_x
_atom_site_fract_y
_atom_site_fract_z
Ce1 0.0000 0.0000 0.2283
Lu1 0.0000 0.0000 0.0000
Co1 0.0000 0.0000 0.5000
```

Offset from the most stable computed form (eV per atom): 0.000
DFT formation energy (eV per atom): -0.007
Calculated volume (Å³ per atom): 25.30
Mass density (g/cm³): 8.44

=====

(2)
## CeLuCo (PBE)

Data for a relaxed CeLuCo crystal.

The structure in CIF format:
```
data_CeLuCo
_chemical_formula_sum 'Ce1 Lu1 Co1'
_symmetry_space_group_name_H-M 'P 3 m 1'
_symmetry_Int_Tables_number 156
_symmetry_space_group_name_Hall 'P 3 -2"'
_cell_length_a 3.7294
_cell_length_b 3.7294
_cell_length_c 6.0914
_cell_angle_alpha 90.00
_cell_angle_beta 90.00
_cell_angle_gamma 120.00
loop_
_atom_site_label
_atom_site_fract_x
_atom_site_fract_y
_atom_site_fract_z
Ce1 0.0000 0.0000 0.0000
Lu1 0.3333 0.6667 0.4973
Co1 0.6667 0.3333 0.2278
```

Offset from the most stable computed form (eV per atom): 0.012
DFT formation energy (eV per atom): -0.087
Calculated volume (Å³ per atom): 24.46
Mass density (g/cm³): 8.46

=====

(3)
## CeLuCo (PBE)

Data for a relaxed CeLuCo crystal.

The structure in CIF format:
```
data_CeLuCo
_chemical_formula_sum 'Ce2 Lu2 Co2'
_symmetry_space_group_name_H-M 'I 4 m m'
_symmetry_Int_Tables_number 107
_symmetry_space_group_name_Hall 'I 4 -2'
_cell_length_a 3.312
_cell_length_b 3.312
_cell_length_c 12.391
_cell_angle_alpha 90.00
_cell_angle_beta 90.00
_cell_angle_gamma 90.00
loop_
_atom_site_label
_atom_site_fract_x
_atom_site_fract_y
_atom_site_fract_z
Ce1 0.000 0.000 0.000
Lu1 0.000 0.000 0.741
Co1 0.000 0.000 0.371
```

Offset from the most stable computed form (eV per atom): 0.000
DFT formation energy (eV per atom): -0.099
Calculated volume (Å³ per atom): 22.66
Mass density (g/cm³): 9.14

=====

(4)
## CeLu3Co (PBE)

Data for a relaxed CeLu3Co crystal.

The structure in CIF format:
```
data_CeLu3Co
_chemical_formula_sum 'Ce1 Lu3 Co1'
_symmetry_space_group_name_H-M 'P m -3 m'
_symmetry_Int_Tables_number 221
_symmetry_space_group_name_Hall '-P 4 2 3'
_cell_length_a 5.168
_cell_length_b 5.168
_cell_length_c 5.168
_cell_angle_alpha 90.00
_cell_angle_beta 90.00
_cell_angle_gamma 90.00
loop_
_atom_site_label
_atom_site_fract_x
_atom_site_fract_y
_atom_site_fract_z
Ce1 0.000 0.000 0.000
Lu1 0.000 0.500 0.500
Co1 0.500 0.500 0.500
```

DFT formation energy (eV per atom): -0.013
Calculated volume (Å³ per atom): 27.60
Mass density (g/cm³): 8.71

=====

(5)
## Ce3LuCo (PBE)

Data for a relaxed Ce3LuCo crystal.

The structure in CIF format:
```
data_Ce3LuCo
_chemical_formula_sum 'Ce3 Lu1 Co1'
_symmetry_space_group_name_H-M 'P m -3 m'
_symmetry_Int_Tables_number 221
_symmetry_space_group_name_Hall '-P 4 2 3'
_cell_length_a 5.222
_cell_length_b 5.222
_cell_length_c 5.222
_cell_angle_alpha 90.00
_cell_angle_beta 90.00
_cell_angle_gamma 90.00
loop_
_atom_site_label
_atom_site_fract_x
_atom_site_fract_y
_atom_site_fract_z
Ce1 0.000 0.000 0.500
Lu1 0.500 0.500 0.500
Co1 0.000 0.000 0.000
```

DFT formation energy (eV per atom): 0.092
Calculated volume (Å³ per atom): 28.48
Mass density (g/cm³): 7.63

=====

(6)
## CeLuMgCo (PBE)

Data for a relaxed CeLuMgCo crystal.

The structure in CIF format:
```
data_CeLuMgCo
_chemical_formula_sum 'Ce4 Lu4 Mg4 Co4'
_symmetry_space_group_name_H-M 'F -4 3 m'
_symmetry_Int_Tables_number 216
_symmetry_space_group_name_Hall 'F -4 2 3'
_cell_length_a 7.049
_cell_length_b 7.049
_cell_length_c 7.049
_cell_angle_alpha 90.00
_cell_angle_beta 90.00
_cell_angle_gamma 90.00
loop_
_atom_site_label
_atom_site_fract_x
_atom_site_fract_y
_atom_site_fract_z
Ce1 0.000 0.000 0.000
Lu1 0.000 0.000 0.500
Mg1 0.250 0.250 0.750
Co1 0.250 0.250 0.250
```

DFT formation energy (eV per atom): 0.043
Calculated volume (Å³ per atom): 21.89
Mass density (g/cm³): 7.55

=====

(7)
## CeLuMnCo (PBE)

Data for a relaxed CeLuMnCo crystal.

The structure in CIF format:
```
data_CeLuMnCo
_chemical_formula_sum 'Ce4 Lu4 Mn4 Co4'
_symmetry_space_group_name_H-M 'F -4 3 m'
_symmetry_Int_Tables_number 216
_symmetry_space_group_name_Hall 'F -4 2 3'
_cell_length_a 6.758
_cell_length_b 6.758
_cell_length_c 6.758
_cell_angle_alpha 90.00
_cell_angle_beta 90.00
_cell_angle_gamma 90.00
loop_
_atom_site_label
_atom_site_fract_x
_atom_site_fract_y
_atom_site_fract_z
Ce1 0.000 0.000 0.000
Lu1 0.000 0.000 0.500
Mn1 0.250 0.250 0.750
Co1 0.250 0.250 0.250
```

DFT formation energy (eV per atom): 0.026
Calculated volume (Å³ per atom): 19.29
Mass density (g/cm³): 9.23

=====

(8)
## CeLuCoNi (PBE)

Data for a relaxed CeLuCoNi crystal.

The structure in CIF format:
```
data_CeLuCoNi
_chemical_formula_sum 'Ce4 Lu4 Co4 Ni4'
_symmetry_space_group_name_H-M 'F -4 3 m'
_symmetry_Int_Tables_number 216
_symmetry_space_group_name_Hall 'F -4 2 3'
_cell_length_a 6.679
_cell_length_b 6.679
_cell_length_c 6.679
_cell_angle_alpha 90.00
_cell_angle_beta 90.00
_cell_angle_gamma 90.00
loop_
_atom_site_label
_atom_site_fract_x
_atom_site_fract_y
_atom_site_fract_z
Ce1 0.000 0.000 0.000
Lu1 0.000 0.000 0.500
Co1 0.250 0.250 0.250
Ni1 0.250 0.250 0.750
```

DFT formation energy (eV per atom): -0.256
Calculated volume (Å³ per atom): 18.62
Mass density (g/cm³): 9.65

=====

(9)
## CeLuCoPd (PBE)

Data for a relaxed CeLuCoPd crystal.

The structure in CIF format:
```
data_CeLuCoPd
_chemical_formula_sum 'Ce4 Lu4 Co4 Pd4'
_symmetry_space_group_name_H-M 'F -4 3 m'
_symmetry_Int_Tables_number 216
_symmetry_space_group_name_Hall 'F -4 2 3'
_cell_length_a 6.855
_cell_length_b 6.855
_cell_length_c 6.855
_cell_angle_alpha 90.00
_cell_angle_beta 90.00
_cell_angle_gamma 90.00
loop_
_atom_site_label
_atom_site_fract_x
_atom_site_fract_y
_atom_site_fract_z
Ce1 0.000 0.000 0.000
Lu1 0.000 0.000 0.500
Co1 0.250 0.250 0.250
Pd1 0.250 0.250 0.750
```

DFT formation energy (eV per atom): -0.426
Calculated volume (Å³ per atom): 20.13
Mass density (g/cm³): 9.91

=====

(10)
## CeLuCoPt (PBE)

Data for a relaxed CeLuCoPt crystal.

The structure in CIF format:
```
data_CeLuCoPt
_chemical_formula_sum 'Ce4 Lu4 Co4 Pt4'
_symmetry_space_group_name_H-M 'F -4 3 m'
_symmetry_Int_Tables_number 216
_symmetry_space_group_name_Hall 'F -4 2 3'
_cell_length_a 6.856
_cell_length_b 6.856
_cell_length_c 6.856
_cell_angle_alpha 90.00
_cell_angle_beta 90.00
_cell_angle_gamma 90.00
loop_
_atom_site_label
_atom_site_fract_x
_atom_site_fract_y
_atom_site_fract_z
Ce1 0.000 0.000 0.000
Lu1 0.000 0.000 0.500
Co1 0.250 0.250 0.250
Pt1 0.250 0.250 0.750
```

DFT formation energy (eV per atom): -0.608
Calculated volume (Å³ per atom): 20.15
Mass density (g/cm³): 11.73

=====

(11)
## CeLuCoRu (PBE)

Data for a relaxed CeLuCoRu crystal.

The structure in CIF format:
```
data_CeLuCoRu
_chemical_formula_sum 'Ce4 Lu4 Co4 Ru4'
_symmetry_space_group_name_H-M 'F -4 3 m'
_symmetry_Int_Tables_number 216
_symmetry_space_group_name_Hall 'F -4 2 3'
_cell_length_a 6.729
_cell_length_b 6.729
_cell_length_c 6.729
_cell_angle_alpha 90.00
_cell_angle_beta 90.00
_cell_angle_gamma 90.00
loop_
_atom_site_label
_atom_site_fract_x
_atom_site_fract_y
_atom_site_fract_z
Ce1 0.000 0.000 0.000
Lu1 0.000 0.000 0.500
Co1 0.250 0.250 0.250
Ru1 0.250 0.250 0.750
```

DFT formation energy (eV per atom): -0.299
Calculated volume (Å³ per atom): 19.04
Mass density (g/cm³): 10.36

=====

(12)
## CeLuCoTc (PBE)

Data for a relaxed CeLuCoTc crystal.

The structure in CIF format:
```
data_CeLuCoTc
_chemical_formula_sum 'Ce4 Lu4 Co4 Tc4'
_symmetry_space_group_name_H-M 'F -4 3 m'
_symmetry_Int_Tables_number 216
_symmetry_space_group_name_Hall 'F -4 2 3'
_cell_length_a 6.720
_cell_length_b 6.720
_cell_length_c 6.720
_cell_angle_alpha 90.00
_cell_angle_beta 90.00
_cell_angle_gamma 90.00
loop_
_atom_site_label
_atom_site_fract_x
_atom_site_fract_y
_atom_site_fract_z
Ce1 0.000 0.000 0.000
Lu1 0.000 0.000 0.500
Co1 0.250 0.250 0.250
Tc1 0.250 0.250 0.750
```

DFT formation energy (eV per atom): -0.115
Calculated volume (Å³ per atom): 18.96
Mass density (g/cm³): 10.33

=====

(13)
## CeLuZnCo (PBE)

Data for a relaxed CeLuZnCo crystal.

The structure in CIF format:
```
data_CeLuZnCo
_chemical_formula_sum 'Ce4 Lu4 Zn4 Co4'
_symmetry_space_group_name_H-M 'F -4 3 m'
_symmetry_Int_Tables_number 216
_symmetry_space_group_name_Hall 'F -4 2 3'
_cell_length_a 6.869
_cell_length_b 6.869
_cell_length_c 6.869
_cell_angle_alpha 90.00
_cell_angle_beta 90.00
_cell_angle_gamma 90.00
loop_
_atom_site_label
_atom_site_fract_x
_atom_site_fract_y
_atom_site_fract_z
Ce1 0.000 0.000 0.000
Lu1 0.000 0.000 0.500
Zn1 0.250 0.250 0.750
Co1 0.250 0.250 0.250
```

DFT formation energy (eV per atom): -0.184
Calculated volume (Å³ per atom): 20.26
Mass density (g/cm³): 9.00

=====

(14)
## Ce3MgCo (PBE)

Data for a relaxed Ce3MgCo crystal.

The structure in CIF format:
```
data_Ce3MgCo
_chemical_formula_sum 'Ce3 Mg1 Co1'
_symmetry_space_group_name_H-M 'P m -3 m'
_symmetry_Int_Tables_number 221
_symmetry_space_group_name_Hall '-P 4 2 3'
_cell_length_a 5.202
_cell_length_b 5.202
_cell_length_c 5.202
_cell_angle_alpha 90.00
_cell_angle_beta 90.00
_cell_angle_gamma 90.00
loop_
_atom_site_label
_atom_site_fract_x
_atom_site_fract_y
_atom_site_fract_z
Ce1 0.000 0.000 0.500
Mg1 0.500 0.500 0.500
Co1 0.000 0.000 0.000
```

Offset from the most stable computed form (eV per atom): 0.101
DFT formation energy (eV per atom): 0.020
Calculated volume (Å³ per atom): 28.15
Mass density (g/cm³): 5.94

=====

(15)
## Ce2Mg2Co15 (PBE)

Data for a relaxed Ce2Mg2Co15 crystal.

The structure in CIF format:
```
data_Ce2Mg2Co15
_chemical_formula_sum 'Ce6 Mg6 Co45'
_symmetry_space_group_name_H-M 'R -3 m'
_symmetry_Int_Tables_number 166
_symmetry_space_group_name_Hall '-R 3 2"'
_cell_length_a 8.4322
_cell_length_b 8.4322
_cell_length_c 12.2451
_cell_angle_alpha 90.00
_cell_angle_beta 90.00
_cell_angle_gamma 120.00
loop_
_atom_site_label
_atom_site_fract_x
_atom_site_fract_y
_atom_site_fract_z
Ce1 0.0000 0.0000 0.1451
Mg1 0.0000 0.0000 0.3944
Co1 0.0000 0.2910 0.5000
Co2 0.0000 0.5000 0.0000
Co3 0.0041 0.5021 0.6488
```

DFT formation energy (eV per atom): -0.059
Calculated volume (Å³ per atom): 13.23
Mass density (g/cm³): 8.01